Record 1
DFT (PBE) results for crystalline Ti3CuNi4 at its relaxed geometry. Values from VASP.

Output
**Density of states at the Fermi level**: 7.4 states/eV/f.u.
**E_form**: -30.4 kJ/mol of atoms
**Space-group type**: Pmma (51)
**Energy**: -0.2454 Ha/atom
**Total magnetization**: 0.0 μB/cell

Quantum ESPRESSO input file:
```
&SYSTEM
  ibrav = 0, nat = 16, ntyp = 3
/
ATOMIC_SPECIES
Ti 47.87 Ti.upf
Cu 63.55 Cu.upf
Ni 58.69 Ni.upf
CELL_PARAMETERS angstrom
8.627 0.000 0.000
0.000 5.372 0.000
0.000 0.000 4.448
ATOMIC_POSITIONS crystal
Ti 0.000 0.000 0.000
Ti 0.250 0.000 0.431
Ti 0.250 0.500 0.386
Ti 0.500 0.000 0.000
Ti 0.750 0.000 0.569
Ti 0.750 0.500 0.614
Cu 0.000 0.500 0.000
Cu 0.500 0.500 0.000
Ni 0.000 0.251 0.500
Ni 0.000 0.749 0.500
Ni 0.250 0.251 0.893
Ni 0.250 0.749 0.893
Ni 0.500 0.251 0.500
Ni 0.500 0.749 0.500
Ni 0.750 0.251 0.107
Ni 0.750 0.749 0.107
```

=====

Record 2
DFT (PBE) results for crystalline TiCu3Ni4 at its relaxed geometry. Values from VASP.

Output
**Density of states at the Fermi level**: 5.9 states/eV/f.u.
**E_form**: -15.5 kJ/mol of atoms
**Space-group type**: I4/mmm (139)
**Energy**: -0.2049 Ha/atom
**Total magnetization**: 0.0 μB/cell

Quantum ESPRESSO input file:
```
&SYSTEM
  ibrav = 0, nat = 8, ntyp = 3
/
ATOMIC_SPECIES
Ti 47.87 Ti.upf
Cu 63.55 Cu.upf
Ni 58.69 Ni.upf
CELL_PARAMETERS angstrom
-1.837 1.837 6.963
1.837 -1.837 6.963
1.837 1.837 -6.963
ATOMIC_POSITIONS crystal
Ti 0.000 0.000 0.000
Cu 0.252 0.252 0.000
Cu 0.500 0.500 0.000
Cu 0.748 0.748 0.000
Ni 0.125 0.625 0.500
Ni 0.375 0.875 0.500
Ni 0.625 0.125 0.500
Ni 0.875 0.375 0.500
```

=====

Record 3
DFT (PBE) results for crystalline TiCu3Ni2 at its relaxed geometry. Values from VASP.

Output
**Density of states at the Fermi level**: 4.2 states/eV/f.u.
**E_form**: -7.4 kJ/mol of atoms
**Space-group type**: C2/c (15)
**Energy**: -0.1973 Ha/atom
**Total magnetization**: 0.0 μB/cell

Quantum ESPRESSO input file:
```
&SYSTEM
  ibrav = 0, nat = 12, ntyp = 3
/
ATOMIC_SPECIES
Ti 47.87 Ti.upf
Cu 63.55 Cu.upf
Ni 58.69 Ni.upf
CELL_PARAMETERS angstrom
3.067 -3.537 0.000
3.067 3.537 0.000
-1.106 0.000 6.805
ATOMIC_POSITIONS crystal
Ti 0.109 0.891 0.750
Ti 0.891 0.109 0.250
Cu 0.176 0.349 0.984
Cu 0.349 0.176 0.484
Cu 0.462 0.538 0.750
Cu 0.538 0.462 0.250
Cu 0.651 0.824 0.516
Cu 0.824 0.651 0.016
Ni 0.091 0.650 0.373
Ni 0.350 0.909 0.127
Ni 0.650 0.091 0.873
Ni 0.909 0.350 0.627
```

=====

Record 4
DFT (PBE) results for crystalline Ti4CuNi at its relaxed geometry. Values from VASP.

Output
**Density of states at the Fermi level**: 5.4 states/eV/f.u.
**E_form**: -19.7 kJ/mol of atoms
**Space-group type**: P4/mmm (123)
**Energy**: -0.2614 Ha/atom
**Distance to the lowest polymorph of the same formula**: 0 meV per atom
**Total magnetization**: 0.0 μB/cell

Quantum ESPRESSO input file:
```
&SYSTEM
  ibrav = 0, nat = 6, ntyp = 3
/
ATOMIC_SPECIES
Ti 47.87 Ti.upf
Cu 63.55 Cu.upf
Ni 58.69 Ni.upf
CELL_PARAMETERS angstrom
2.971 0.000 0.000
0.000 2.971 0.000
0.000 0.000 10.260
ATOMIC_POSITIONS crystal
Ti 0.000 0.000 0.152
Ti 0.000 0.000 0.848
Ti 0.500 0.500 0.333
Ti 0.500 0.500 0.667
Cu 0.000 0.000 0.500
Ni 0.500 0.500 0.000
```

=====

Look up the energy of the fourth one.
-0.2614 Ha/atom